No. 1
Below is a relaxed structure of ZnReMo, with properties calculated at the PBE level.

Structure (POSCAR):
```
ZnReMo
1.0
4.736 -0.001 0.006
2.175 4.207 -0.006
-2.942 -2.947 2.256
Zn Mo Re
1 1 1
Direct
0.668 0.668 0.000
0.001 0.001 0.000
0.331 0.331 0.000
```

Properties
energy = -24.08 eV/cell
total magnetic moment = 0.000 μB/f.u.
E above lowest polymorph = 61 meV/atom
mass density = 12.9 g/cm³
formation energy from the elements = 0.1565 eV per atom

No. 2
Below is a relaxed structure of SmEr2Cu9, with properties calculated at the PBE level.

Structure (POSCAR):
```
SmEr2Cu9
1.0
-2.504 -1.732 -4.193
2.549 -2.718 -3.601
-1.817 -8.476 1.384
Cu Sm Er
9 1 2
Direct
0.583 0.583 0.752
0.583 0.083 0.752
0.083 0.583 0.752
0.917 0.417 0.248
0.332 0.332 0.003
0.417 0.417 0.248
0.668 0.668 0.997
0.417 0.917 0.248
0.500 0.500 0.500
0.000 0.000 0.000
0.143 0.143 0.572
0.857 0.857 0.428
```

Properties
energy = -53.17 eV/cell
total magnetic moment = 0.000 μB/f.u.
mass density = 9.1 g/cm³
formation energy from the elements = -0.2047 eV per atom

No. 3
Below is a relaxed structure of NdThSc2, with properties calculated at the PBE level.

Structure (POSCAR):
```
NdThSc2
1.0
-0.929 2.934 -1.705
-1.978 0.968 2.743
7.317 4.467 3.700
Sc Th Nd
2 1 1
Direct
0.000 0.000 0.242
0.000 0.000 0.758
0.500 0.500 0.000
0.500 0.500 0.500
```

Properties
energy = -24.76 eV/cell
total magnetic moment = 0.000 μB/f.u.
E above lowest polymorph = 0 meV/atom
mass density = 6.7 g/cm³
formation energy from the elements = 0.0224 eV per atom

No. 4
Below is a relaxed structure of KLaBr2, with properties calculated at the PBE level.

Structure (POSCAR):
```
KLaBr2
1.0
-3.357 1.586 -1.618
-0.082 -3.724 1.589
-2.383 3.719 8.591
Br K La
2 1 1
Direct
0.000 0.000 0.003
0.000 0.000 0.497
0.500 0.500 0.250
0.500 0.500 0.750
```

Properties
energy = -14.52 eV/cell
total magnetic moment = 0.005 μB/f.u.
E above lowest polymorph = 142 meV/atom
mass density = 4.1 g/cm³
formation energy without anion corrections = -1.288 eV/atom

No. 5
Below is a relaxed structure of MoOs2Cl, with properties calculated at the PBE level.

Structure (POSCAR):
```
MoOs2Cl
1.0
2.815 0.000 0.000
0.000 3.678 0.000
0.000 0.000 7.458
Os Cl Mo
2 1 1
Direct
0.500 0.500 0.139
0.000 0.000 0.000
0.000 0.000 0.570
0.500 0.500 0.791
```

Properties
energy = -32.48 eV/cell
total magnetic moment = 0.000 μB/f.u.
E above lowest polymorph = 192 meV/atom
mass density = 11.0 g/cm³
formation energy without anion corrections = 0.664 eV/atom

No. 6
Below is a relaxed structure of Li2Cd2Sb, with properties calculated at the PBE level.

Structure (POSCAR):
```
Li2Cd2Sb
1.0
4.017 0.000 0.000
0.000 4.017 0.000
2.009 2.009 7.002
Li Cd Sb
2 2 1
Direct
0.250 0.750 0.500
0.750 0.250 0.500
0.607 0.607 0.785
0.393 0.393 0.215
0.000 0.000 0.000
```

Properties
energy = -10.07 eV/cell
total magnetic moment = 0.000 μB/f.u.
E above lowest polymorph = 138 meV/atom
mass density = 5.3 g/cm³
formation energy without anion corrections = -0.058 eV/atom

> What is the mass density in the third record?

6.7 g/cm³

> Which of these has the highest total magnetic moment?

KLaBr2

> Among the records above, which one has the lowest mass density?

KLaBr2